Entry from Alexandria: a relaxed CeHfC2 crystal (PBE-GGA).

Its total energy is -8.90 eV/atom. The calculated formation energy comes out at -30.3 kJ/mol of atoms. Its space group is No. 59. As for the total magnetic moment: 0.00 μB/f.u. The calculation puts the volume at 118.2 Å³ per cell. As for the distance to the lowest polymorph of the same formula: 111 meV per atom.

a = 3.4456 Å, b = 5.6053 Å, c = 6.1202 Å
α = 90.00°, β = 90.00°, γ = 90.00°
Last column: nearest neighbours and their distance in Å.
Element x y z (fractional)
Ce 0.2500 0.2500 0.5910  6 C 2.54-2.59
Ce 0.7500 0.7500 0.4090  6 C 2.54-2.59
Hf 0.7500 0.2500 0.0739  6 C 2.36
Hf 0.2500 0.7500 0.9261  6 C 2.36
C 0.2500 0.4845 0.2255  3 Hf 2.36, 3 Ce 2.54-2.59, 1 C 2.63
C 0.7500 0.5155 0.7745  3 Hf 2.36, 3 Ce 2.54-2.59, 1 C 2.63
C 0.7500 0.9845 0.7745  3 Hf 2.36, 3 Ce 2.54-2.59, 1 C 2.63
C 0.2500 0.0155 0.2255  3 Hf 2.36, 3 Ce 2.54-2.59, 1 C 2.63